Record 1
AlRhSe2 (GGA-PBE, relaxed); electronic total energy = -4.48 eV/atom; DOS(E_F) = 3.69 states/eV/f.u.; formation energy without anion corrections = 0.036 eV/atom; SG = Cmmm, No. 65
1.0
3.713 0.038 0.000
-2.147 3.030 0.000
0.000 0.000 7.243
Rh Se Al
1 2 1
Cartesian
0.783 1.534 5.433
0.000 0.000 3.611
0.000 0.000 0.010
0.783 1.534 1.811



Record 2
AlRhSe2 (GGA-PBE, relaxed); electronic total energy = -4.95 eV/atom; DOS(E_F) = 1.11 states/eV/f.u.; formation energy without anion corrections = -0.430 eV/atom; SG = R3m, No. 160
1.0
-4.941 -5.133 3.602
-2.314 -7.226 2.485
-1.977 -5.425 5.513
Al Rh Se
1 1 2
Cartesian
-4.634 -8.927 5.823
-6.897 -13.285 8.666
-0.228 -0.439 0.286
-2.089 -4.025 2.625



Record 3
AlRh2Se (GGA-PBE, relaxed); energy above the most stable polymorph in this dataset = 1.08 eV per formula unit; electronic total energy = -5.66 eV/atom; DOS(E_F) = 3.44 states/eV/f.u.; formation energy without anion corrections = -0.181 eV/atom; SG = Immm, No. 71
1.0
-0.438 -5.101 -0.348
0.862 -1.657 -4.780
1.923 2.296 4.167
Rh Se Al
2 1 1
Cartesian
0.211 -3.357 -2.547
0.001 -0.022 -0.017
0.848 -3.092 0.627
1.499 -1.370 -1.589



Record 4
AlRh2Se (GGA-PBE, relaxed); energy above the most stable polymorph in this dataset = 0.75 eV per formula unit; electronic total energy = -5.75 eV/atom; DOS(E_F) = 2.79 states/eV/f.u.; formation energy without anion corrections = -0.264 eV/atom; SG = I-42d, No. 122
1.0
4.071 0.000 0.000
0.000 4.071 0.000
2.035 2.035 8.045
Rh Al Se
4 2 2
Cartesian
3.053 2.999 6.033
5.088 5.143 6.033
3.107 1.018 2.011
0.963 3.053 2.011
2.035 2.035 0.000
2.035 4.071 4.022
0.000 0.000 0.000
4.071 2.035 4.022



Record 5
AlRhSe2 (GGA-PBE, relaxed); electronic total energy = -4.31 eV/atom; DOS(E_F) = 4.01 states/eV/f.u.; formation energy without anion corrections = 0.210 eV/atom; SG = F-43m, No. 216
1.0
4.589 0.000 0.000
2.295 3.974 0.000
2.295 1.325 3.747
Se Al Rh
2 1 1
Cartesian
0.000 0.000 0.000
2.295 1.325 0.937
4.589 2.650 1.874
6.884 3.974 2.810



Record 6
AlRh2Se (GGA-PBE, relaxed); energy above the most stable polymorph in this dataset = 0.78 eV per formula unit; electronic total energy = -5.74 eV/atom; DOS(E_F) = 2.59 states/eV/f.u.; formation energy without anion corrections = -0.258 eV/atom; SG = I-4m2, No. 119
1.0
-4.516 2.604 -0.004
-4.497 -2.499 -0.842
4.263 -0.471 2.962
Rh Al Se
2 1 1
Cartesian
-2.370 -1.458 0.849
0.000 0.000 0.000
-2.380 1.093 1.268
-4.507 0.052 -0.423